1.
# Sc2BeSiSe

An optimized crystal structure of Sc2BeSiSe (GGA-PBEsol, Alexandria).

Output
Total magnetic moment, μB per cell: 0.00
Energy relative to the elements, uncorrected, meV per atom: 49.9

Cell lengths 4.836, 4.836, 3.949 Å; angles 90.00, 90.00, 90.00 degrees
Atoms (fractional coordinates):
Sc (0.000, 0.500, 0.000)
Sc (0.500, 0.000, 0.000)
Be (0.000, 0.000, 0.000)
Si (0.500, 0.500, 0.500)
Se (0.000, 0.000, 0.500)

2.
# ZrAlPd3

An optimized crystal structure of ZrAlPd3 (GGA-PBEsol, Alexandria).

Output
Total magnetic moment, μB per cell: 0.00
Final energy, eV/cell: -31.3

Cell lengths 4.479, 4.479, 4.479 Å; angles 90.00, 90.00, 90.00 degrees
Atoms (fractional coordinates):
Zr (0.000, 0.000, 0.000)
Al (0.500, 0.500, 0.500)
Pd (0.000, 0.500, 0.500)
Pd (0.500, 0.000, 0.500)
Pd (0.500, 0.500, 0.000)

3.
# LiSb2As

An optimized crystal structure of LiSb2As (GGA-PBEsol, Alexandria).

Output
Total magnetic moment, μB per cell: 0.00
Energy relative to the elements, uncorrected, meV per atom: 48.6

Cell lengths 7.112, 7.112, 7.112 Å; angles 90.00, 90.00, 90.00 degrees
Atoms (fractional coordinates):
Li (0.000, 0.000, 0.000)
Li (0.000, 0.500, 0.500)
Li (0.500, 0.000, 0.500)
Li (0.500, 0.500, 0.000)
Sb (0.000, 0.000, 0.500)
Sb (0.000, 0.500, 0.000)
Sb (0.250, 0.250, 0.250)
Sb (0.250, 0.750, 0.750)
Sb (0.500, 0.000, 0.000)
Sb (0.500, 0.500, 0.500)
Sb (0.750, 0.250, 0.750)
Sb (0.750, 0.750, 0.250)
As (0.250, 0.250, 0.750)
As (0.250, 0.750, 0.250)
As (0.750, 0.250, 0.250)
As (0.750, 0.750, 0.750)

4.
# LiY2SbPt

An optimized crystal structure of LiY2SbPt (GGA-PBEsol, Alexandria).

Output
Total magnetic moment, μB per cell: 0.00
Energy relative to the elements, uncorrected, meV per atom: -591.6

Cell lengths 5.301, 5.301, 4.583 Å; angles 90.00, 90.00, 90.00 degrees
Atoms (fractional coordinates):
Li (0.000, 0.000, 0.000)
Y (0.000, 0.500, 0.500)
Y (0.500, 0.000, 0.500)
Sb (0.500, 0.500, 0.000)
Pt (0.000, 0.000, 0.500)